1.
TaNi2Ge | PBE-GGA | relaxed

Lattice parameters (Å, degrees): 6.0090 6.0090 6.0090 90.00 90.00 90.00
Closest atoms and distances in Å follow each position.
Space group F-43m (No. 216)
Unique sites:
Ta 0.0000 0.0000 0.0000 [4 per cell]  4 Ni 2.60, 4 Ge 2.60
Ni 0.0000 0.0000 0.5000 [4 per cell]  4 Ge 2.60, 4 Ni 2.60
Ni 0.2500 0.2500 0.2500 [4 per cell]  4 Ta 2.60, 4 Ni 2.60
Ge 0.2500 0.2500 0.7500 [4 per cell]  4 Ta 2.60, 4 Ni 2.60

Total magnetization, μB per formula unit: 0.000
Total DFT energy (no corrections), eV/cell: -112.7

=====

2.
TaNiGe | PBE-GGA | relaxed

Lattice parameters (Å, degrees): 4.1261 4.1261 5.9227 90.00 90.00 120.00
Closest atoms and distances in Å follow each position.
Space group P6_3mc (No. 186)
Unique sites:
Ta 0.0000 0.0000 0.0000 [2 per cell]  3 Ni 2.61, 6 Ge 2.78-2.83
Ni 0.3333 0.6667 0.3203 [2 per cell]  4 Ge 2.43-2.49, 3 Ta 2.61
Ge 0.3333 0.6667 0.7414 [2 per cell]  4 Ni 2.43-2.49

Total magnetization, μB per formula unit: 0.002
Total DFT energy (no corrections), eV/cell: -46.2

=====

3.
YTaNiGe | PBE-GGA | relaxed

Lattice parameters (Å, degrees): 6.5589 6.5589 6.5589 90.00 90.00 90.00
Closest atoms and distances in Å follow each position.
Space group F-43m (No. 216)
Unique sites:
Y 0.0000 0.0000 0.0000 [4 per cell]  4 Ta 2.84, 4 Ni 2.84
Ta 0.2500 0.2500 0.2500 [4 per cell]  4 Ge 2.84, 4 Y 2.84
Ni 0.2500 0.2500 0.7500 [4 per cell]  4 Ge 2.84, 4 Y 2.84
Ge 0.0000 0.0000 0.5000 [4 per cell]  4 Ni 2.84, 4 Ta 2.84

Total magnetization, μB per formula unit: 1.686
Total DFT energy (no corrections), eV/cell: -108.6

=====

4.
ZrTaNiGe | PBE-GGA | relaxed

Lattice parameters (Å, degrees): 6.4525 6.4525 6.4525 90.00 90.00 90.00
Closest atoms and distances in Å follow each position.
Space group F-43m (No. 216)
Unique sites:
Zr 0.0000 0.0000 0.0000 [4 per cell]  4 Ni 2.79, 4 Ta 2.79
Ta 0.2500 0.2500 0.2500 [4 per cell]  4 Ge 2.79, 4 Zr 2.79
Ni 0.2500 0.2500 0.7500 [4 per cell]  4 Ge 2.79, 4 Zr 2.79
Ge 0.0000 0.0000 0.5000 [4 per cell]  4 Ta 2.79, 4 Ni 2.79

Total magnetization, μB per formula unit: 0.989
Total DFT energy (no corrections), eV/cell: -119.2

=====

5.
TbNiGe2 | PBE-GGA | relaxed

Lattice parameters (Å, degrees): 3.1005 18.6844 5.2200 90.00 90.00 90.00
Closest atoms and distances in Å follow each position.
Space group Cmcm (No. 63)
Unique sites:
Tb 0.0000 0.1306 0.2500 [4 per cell]  7 Ge 2.99-3.23, 4 Ni 3.04, 2 Tb 3.10
Ni 0.0000 0.3711 0.2500 [4 per cell]  4 Ge 2.42-2.45
Ge 0.0000 0.0292 0.7500 [4 per cell]  2 Ni 2.42
Ge 0.0000 0.2308 0.7500 [4 per cell]  2 Ni 2.45

Total magnetization, μB per formula unit: 0.006
Total DFT energy (no corrections), eV/cell: -82.3

=====

6.
TbNiGe3 | PBE-GGA | relaxed

Lattice parameters (Å, degrees): 4.1064 21.7284 4.1095 90.00 90.00 90.00
Closest atoms and distances in Å follow each position.
Space group Cmmm (No. 65)
Unique sites:
Tb 0.0000 0.1688 0.0000 [4 per cell]  10 Ge 3.08-3.23, 4 Ni 3.17
Ni 0.0000 0.3896 0.5000 [4 per cell]  5 Ge 2.30-2.36
Ge 0.0000 0.0574 0.5000 [4 per cell]  2 Ni 2.35, 1 Ge 2.49
Ge 0.0000 0.2838 0.5000 [4 per cell]  1 Ni 2.30, 2 Ge 2.52
Ge 0.0000 0.4427 0.0000 [4 per cell]  2 Ni 2.36, 1 Ge 2.49

Total magnetization, μB per formula unit: 0.001
Total DFT energy (no corrections), eV/cell: -108.0

=====

7.
Tb6NiGe2 | PBE-GGA | relaxed

Lattice parameters (Å, degrees): 8.1184 8.1184 3.9693 90.00 90.00 120.00
Closest atoms and distances in Å follow each position.
Space group P-62m (No. 189)
Unique sites:
Tb 0.0000 0.2471 0.0000 [3 per cell]  2 Ni 2.82, 2 Ge 3.12
Tb 0.0000 0.5882 0.5000 [3 per cell]  4 Ge 3.15, 1 Ni 3.34, 6 Tb 3.41-3.53
Ni 0.0000 0.0000 0.5000 [1 per cell]  6 Tb 2.82
Ge 0.3333 0.6667 0.0000 [2 per cell]  9 Tb 3.12-3.15

Total magnetization, μB per formula unit: 0.047
Total DFT energy (no corrections), eV/cell: -46.9

=====

8.
TbNiGe2 | PBE-GGA | relaxed

Lattice parameters (Å, degrees): 4.1205 16.7340 4.1833 90.00 90.00 90.00
Closest atoms and distances in Å follow each position.
Space group Cmcm (No. 63)
Unique sites:
Tb 0.0000 0.1080 0.2500 [4 per cell]  10 Ge 3.13-3.24, 4 Ni 3.17
Ni 0.0000 0.3213 0.2500 [4 per cell]  5 Ge 2.30-2.40
Ge 0.0000 0.2509 0.7500 [4 per cell]  4 Ni 2.39-2.40
Ge 0.0000 0.4588 0.2500 [4 per cell]  1 Ni 2.30, 2 Ge 2.50

Total magnetization, μB per formula unit: 0.001
Total DFT energy (no corrections), eV/cell: -89.2